1.
# RbTc3W PBE-GGA optimized geometry
# Uncorrected energy (eV for the cell shown): -27.67
# Calculated density (g cm⁻³): 9.885
# Size of the total moment (μB per cell): 0.00
data_RbTc3W
_symmetry_space_group_name_H-M 'P m -3 m'
_symmetry_Int_Tables_number 221
_symmetry_space_group_name_Hall '-P 4 2 3'
_cell_length_a 4.557
_cell_length_b 4.557
_cell_length_c 4.557
_cell_angle_alpha 90.00
_cell_angle_beta 90.00
_cell_angle_gamma 90.00
loop_
_atom_site_label
_atom_site_fract_x
_atom_site_fract_y
_atom_site_fract_z
Rb1 0.000 0.000 0.000
Tc1 0.000 0.000 0.500
W1 0.500 0.500 0.500

***

2.
# Ho3Al4Ni4 PBE-GGA optimized geometry
# Uncorrected energy (eV for the cell shown): -113.41
# Calculated density (g cm⁻³): 6.923
# Size of the total moment (μB per cell): 0.00
data_Ho3Al4Ni4
_symmetry_space_group_name_H-M 'I -4 3 m'
_symmetry_Int_Tables_number 217
_symmetry_space_group_name_Hall 'I -4 2 3'
_cell_length_a 7.379
_cell_length_b 7.379
_cell_length_c 7.379
_cell_angle_alpha 90.00
_cell_angle_beta 90.00
_cell_angle_gamma 90.00
loop_
_atom_site_label
_atom_site_fract_x
_atom_site_fract_y
_atom_site_fract_z
Ho1 0.000 0.000 0.500
Al1 0.133 0.133 0.133
Ni1 0.187 0.187 0.813

***

3.
# HoMnNi10 PBE-GGA optimized geometry
# Uncorrected energy (eV for the cell shown): -72.68
# Calculated density (g cm⁻³): 8.595
# Size of the total moment (μB per cell): 8.34
data_HoMnNi10
_symmetry_space_group_name_H-M 'P m m m'
_symmetry_Int_Tables_number 47
_symmetry_space_group_name_Hall '-P 2 2'
_cell_length_a 3.987
_cell_length_b 4.749
_cell_length_c 8.233
_cell_angle_alpha 90.00
_cell_angle_beta 90.00
_cell_angle_gamma 90.00
loop_
_atom_site_label
_atom_site_fract_x
_atom_site_fract_y
_atom_site_fract_z
Ho1 0.000 0.000 0.000
Mn1 0.000 0.500 0.500
Ni1 0.000 0.000 0.343
Ni2 0.000 0.500 0.181
Ni3 0.500 0.000 0.500
Ni4 0.500 0.251 0.255
Ni5 0.500 0.500 0.000

***

4.
# Pr2Si3Pt5 PBE-GGA optimized geometry
# Calculated density (g cm⁻³): 11.791
# Uncorrected formation energy (eV/atom): -0.893
# Size of the total moment (μB per cell): 0.00
data_Pr2Si3Pt5
_symmetry_space_group_name_H-M 'C m c 21'
_symmetry_Int_Tables_number 36
_symmetry_space_group_name_Hall 'C 2c -2'
_cell_length_a 4.142
_cell_length_b 26.637
_cell_length_c 6.849
_cell_angle_alpha 90.00
_cell_angle_beta 90.00
_cell_angle_gamma 90.00
loop_
_atom_site_label
_atom_site_fract_x
_atom_site_fract_y
_atom_site_fract_z
Pr1 0.000 0.020 0.000
Pr2 0.000 0.326 0.001
Si1 0.000 0.113 0.759
Si2 0.000 0.284 0.571
Si3 0.000 0.438 0.782
Pt1 0.000 0.089 0.409
Pt2 0.000 0.196 0.877
Pt3 0.000 0.237 0.260
Pt4 0.000 0.376 0.505
Pt5 0.000 0.438 0.172

***

5.
# Sr2AlSn PBE-GGA optimized geometry
# Uncorrected energy (eV for the cell shown): -43.85
# Calculated density (g cm⁻³): 3.746
# Size of the total moment (μB per cell): 0.00
data_Sr2AlSn
_symmetry_space_group_name_H-M 'I -4 2 d'
_symmetry_Int_Tables_number 122
_symmetry_space_group_name_Hall 'I -4 2bw'
_cell_length_a 8.889
_cell_length_b 8.889
_cell_length_c 7.202
_cell_angle_alpha 90.00
_cell_angle_beta 90.00
_cell_angle_gamma 90.00
loop_
_atom_site_label
_atom_site_fract_x
_atom_site_fract_y
_atom_site_fract_z
Sr1 0.246 0.750 0.125
Al1 0.000 0.000 0.000
Sn1 0.000 0.000 0.500

***

6.
# NaTl12Sb6 PBE-GGA optimized geometry
# Calculated density (g cm⁻³): 8.705
# Uncorrected formation energy (eV/atom): -0.017
# Size of the total moment (μB per cell): 0.00
data_NaTl12Sb6
_symmetry_space_group_name_H-M 'I m -3'
_symmetry_Int_Tables_number 204
_symmetry_space_group_name_Hall '-I 2 2 3'
_cell_length_a 10.694
_cell_length_b 10.694
_cell_length_c 10.694
_cell_angle_alpha 90.00
_cell_angle_beta 90.00
_cell_angle_gamma 90.00
loop_
_atom_site_label
_atom_site_fract_x
_atom_site_fract_y
_atom_site_fract_z
Na1 0.000 0.000 0.000
Tl1 0.000 0.265 0.197
Sb1 0.000 0.134 0.500

***

7.
# LiTcPt2 PBE-GGA optimized geometry
# Uncorrected energy (eV for the cell shown): -48.72
# Calculated density (g cm⁻³): 13.582
# Size of the total moment (μB per cell): 0.00
data_LiTcPt2
_symmetry_space_group_name_H-M 'C m m 2'
_symmetry_Int_Tables_number 35
_symmetry_space_group_name_Hall 'C 2 -2'
_cell_length_a 2.769
_cell_length_b 4.636
_cell_length_c 9.429
_cell_angle_alpha 90.00
_cell_angle_beta 90.00
_cell_angle_gamma 90.00
loop_
_atom_site_label
_atom_site_fract_x
_atom_site_fract_y
_atom_site_fract_z
Li1 0.000 0.000 0.000
Tc1 0.000 0.500 0.742
Pt1 0.000 0.000 0.499
Pt2 0.000 0.500 0.228

***

8.
# ZrInPtO6 PBE-GGA optimized geometry
# Calculated density (g cm⁻³): 7.174
# Uncorrected formation energy (eV/atom): -1.617
# Size of the total moment (μB per cell): 0.00
data_ZrInPtO6
_symmetry_space_group_name_H-M 'P 42 n m'
_symmetry_Int_Tables_number 102
_symmetry_space_group_name_Hall 'P 4n -2n'
_cell_length_a 4.840
_cell_length_b 4.840
_cell_length_c 9.823
_cell_angle_alpha 90.00
_cell_angle_beta 90.00
_cell_angle_gamma 90.00
loop_
_atom_site_label
_atom_site_fract_x
_atom_site_fract_y
_atom_site_fract_z
Zr1 0.000 0.000 0.000
In1 0.000 0.000 0.332
Pt1 0.000 0.000 0.665
O1 0.185 0.185 0.826
O2 0.191 0.191 0.511
O3 0.210 0.210 0.159

***

9.
# Co2Te3 PBE-GGA optimized geometry
# Calculated density (g cm⁻³): 8.115
# Uncorrected formation energy (eV/atom): -0.136
# Size of the total moment (μB per cell): 0.01
data_Co2Te3
_symmetry_space_group_name_H-M 'R -3 c'
_symmetry_Int_Tables_number 167
_symmetry_space_group_name_Hall '-R 3 2"c'
_cell_length_a 6.6539
_cell_length_b 6.6539
_cell_length_c 16.0315
_cell_angle_alpha 90.00
_cell_angle_beta 90.00
_cell_angle_gamma 120.00
loop_
_atom_site_label
_atom_site_fract_x
_atom_site_fract_y
_atom_site_fract_z
Co1 0.0000 0.0000 0.1582
Te1 0.0000 0.3216 0.2500

***

10.
# Ba3PdI PBE-GGA optimized geometry
# Calculated density (g cm⁻³): 4.569
# Uncorrected formation energy (eV/atom): -0.702
# Size of the total moment (μB per cell): 0.00
data_Ba3PdI
_symmetry_space_group_name_H-M 'P m m n'
_symmetry_Int_Tables_number 59
_cell_length_a 4.437
_cell_length_b 11.356
_cell_length_c 9.308
_cell_angle_alpha 90.00
_cell_angle_beta 90.00
_cell_angle_gamma 90.00
loop_
_symmetry_equiv_pos_as_xyz
'x,y,z'
'-x,-y,-z'
'-x+1/2,-y+1/2,z'
'x+1/2,y+1/2,-z'
'x+1/2,-y,-z'
'-x+1/2,y,z'
'-x,y+1/2,-z'
'x,-y+1/2,z'
loop_
_atom_site_label
_atom_site_fract_x
_atom_site_fract_y
_atom_site_fract_z
Ba1 0.250 0.081 0.167
Ba2 0.250 0.250 0.747
Pd1 0.250 0.750 0.009
I1 0.250 0.750 0.569